No. 1
# GGA-PBE Ac3DyTl4Se8, relaxed
data_Ac3DyTl4Se8
_chemical_formula_sum 'Ac3 Dy1 Tl4 Se8'
_symmetry_space_group_name_H-M 'P 1'
_symmetry_Int_Tables_number 1
_cell_length_a 9.3001
_cell_length_b 9.3001
_cell_length_c 9.3001
_cell_angle_alpha 57.58
_cell_angle_beta 57.58
_cell_angle_gamma 57.58
loop_
_symmetry_equiv_pos_as_xyz
'x,y,z'
loop_
_atom_site_label
_atom_site_fract_x
_atom_site_fract_y
_atom_site_fract_z
_atom_site_occupancy
Ac1 0.0000 0.5000 0.5000 1
Ac2 0.5000 0.0000 0.5000 1
Ac3 0.5000 0.5000 0.0000 1
Dy1 0.0000 0.0000 0.0000 1
Tl1 0.0000 0.0000 0.5000 1
Tl2 0.0000 0.5000 0.0000 1
Tl3 0.5000 0.0000 0.0000 1
Tl4 0.5000 0.5000 0.5000 1
Se1 0.2284 0.2284 0.7547 1
Se2 0.2284 0.7547 0.2284 1
Se3 0.2453 0.7716 0.7716 1
Se4 0.2598 0.2598 0.2598 1
Se5 0.7402 0.7402 0.7402 1
Se6 0.7547 0.2284 0.2284 1
Se7 0.7716 0.2453 0.7716 1
Se8 0.7716 0.7716 0.2453 1
# Uncorrected formation energy ... -1.41 eV per atom
# Spin magnetization ... 0.00 μB/f.u.
# Crystal system ... trigonal

No. 2
# GGA-PBE AcDy2Tl3Se6, relaxed
data_AcDy2Tl3Se6
_chemical_formula_sum 'Ac1 Dy2 Tl3 Se6'
_symmetry_space_group_name_H-M 'P 1'
_symmetry_Int_Tables_number 1
_cell_length_a 7.4753
_cell_length_b 7.4753
_cell_length_c 8.1412
_cell_angle_alpha 98.81
_cell_angle_beta 98.81
_cell_angle_gamma 119.89
loop_
_symmetry_equiv_pos_as_xyz
'x,y,z'
loop_
_atom_site_label
_atom_site_fract_x
_atom_site_fract_y
_atom_site_fract_z
_atom_site_occupancy
Ac1 0.0000 0.0000 0.0000 1
Dy1 0.3333 0.6667 0.0000 1
Dy2 0.6667 0.3333 0.0000 1
Tl1 0.1636 0.8364 0.5000 1
Tl2 0.5000 0.5000 0.5000 1
Tl3 0.8364 0.1636 0.5000 1
Se1 0.0699 0.4231 0.2095 1
Se2 0.2846 0.2846 0.7947 1
Se3 0.4231 0.0699 0.2095 1
Se4 0.5769 0.9301 0.7905 1
Se5 0.7154 0.7154 0.2053 1
Se6 0.9301 0.5769 0.7905 1
# Uncorrected formation energy ... -1.40 eV per atom
# Spin magnetization ... 0.00 μB/f.u.
# Crystal system ... monoclinic

No. 3
# GGA-PBE AcDyTl2Se4, relaxed
data_AcDyTl2Se4
_chemical_formula_sum 'Ac1 Dy1 Tl2 Se4'
_symmetry_space_group_name_H-M 'P 1'
_symmetry_Int_Tables_number 1
_cell_length_a 7.6015
_cell_length_b 4.3788
_cell_length_c 8.1435
_cell_angle_alpha 90.00
_cell_angle_beta 107.99
_cell_angle_gamma 90.00
loop_
_symmetry_equiv_pos_as_xyz
'x,y,z'
loop_
_atom_site_label
_atom_site_fract_x
_atom_site_fract_y
_atom_site_fract_z
_atom_site_occupancy
Ac1 0.0000 0.0000 0.0000 1
Dy1 0.5000 0.5000 0.0000 1
Tl1 0.0000 0.5000 0.5000 1
Tl2 0.5000 0.0000 0.5000 1
Se1 0.2565 0.5000 0.2140 1
Se2 0.2810 0.0000 0.7935 1
Se3 0.7190 0.0000 0.2065 1
Se4 0.7435 0.5000 0.7860 1
# Uncorrected formation energy ... -1.40 eV per atom
# Spin magnetization ... 0.00 μB/f.u.
# Crystal system ... monoclinic

No. 4
# GGA-PBE Ac2DyTmSe6, relaxed
data_Ac2DyTmSe6
_chemical_formula_sum 'Ac4 Dy2 Tm2 Se12'
_symmetry_space_group_name_H-M 'P 1'
_symmetry_Int_Tables_number 1
_cell_length_a 7.1560
_cell_length_b 7.8727
_cell_length_c 12.7225
_cell_angle_alpha 90.00
_cell_angle_beta 124.07
_cell_angle_gamma 90.00
loop_
_symmetry_equiv_pos_as_xyz
'x,y,z'
loop_
_atom_site_label
_atom_site_fract_x
_atom_site_fract_y
_atom_site_fract_z
_atom_site_occupancy
Ac1 0.2134 0.0963 0.2495 1
Ac2 0.2134 0.4037 0.7495 1
Ac3 0.7866 0.5963 0.2505 1
Ac4 0.7866 0.9037 0.7505 1
Dy1 0.5000 0.0000 0.0000 1
Dy2 0.5000 0.5000 0.5000 1
Tm1 0.0000 0.0000 0.5000 1
Tm2 0.0000 0.5000 0.0000 1
Se1 0.1134 0.1890 0.9367 1
Se2 0.1134 0.3110 0.4367 1
Se3 0.2571 0.6864 0.9368 1
Se4 0.2571 0.8136 0.4368 1
Se5 0.3771 0.0385 0.7482 1
Se6 0.3771 0.4615 0.2482 1
Se7 0.6229 0.5385 0.7518 1
Se8 0.6229 0.9615 0.2518 1
Se9 0.7429 0.1864 0.5632 1
Se10 0.7429 0.3136 0.0632 1
Se11 0.8866 0.6890 0.5633 1
Se12 0.8866 0.8110 0.0633 1
# Uncorrected formation energy ... -1.98 eV per atom
# Spin magnetization ... 0.00 μB/f.u.
# Crystal system ... monoclinic

Question: Which value of uncorrected formation energy does entry 2 give?
Answer: -1.40 eV per atom